No. 1
A plane-wave DFT calculation with PBE was carried out for a relaxed structure of Mg2CrPt.

Cell and atoms, written as CIF:
```
data_Mg2CrPt
_chemical_formula_sum 'Mg2 Cr1 Pt1'
_cell_length_a 4.562
_cell_length_b 4.562
_cell_length_c 4.562
_cell_angle_alpha 60.00
_cell_angle_beta 60.00
_cell_angle_gamma 60.00
_symmetry_space_group_name_H-M 'P 1'
_symmetry_Int_Tables_number 1
loop_
_symmetry_equiv_pos_as_xyz
'x,y,z'
loop_
_atom_site_label
_atom_site_fract_x
_atom_site_fract_y
_atom_site_fract_z
Mg1 0.250 0.250 0.250
Mg2 0.000 0.000 0.000
Pt1 0.750 0.750 0.750
Cr1 0.500 0.500 0.500
```

Properties
Magnetic moment: 3.71 μB/f.u.
Energy relative to the elements: -0.1943 eV per atom
Space-group type: No. 216



No. 2
A plane-wave DFT calculation with PBE was carried out for a relaxed structure of Mg2CrPt.

Cell and atoms, written as CIF:
```
data_Mg2CrPt
_chemical_formula_sum 'Mg2 Cr1 Pt1'
_cell_length_a 3.733
_cell_length_b 3.055
_cell_length_c 6.715
_cell_angle_alpha 63.05
_cell_angle_beta 90.00
_cell_angle_gamma 90.00
_symmetry_space_group_name_H-M 'P 1'
_symmetry_Int_Tables_number 1
loop_
_symmetry_equiv_pos_as_xyz
'x,y,z'
loop_
_atom_site_label
_atom_site_fract_x
_atom_site_fract_y
_atom_site_fract_z
Pt1 0.500 0.250 0.250
Cr1 0.500 0.750 0.750
Mg1 0.000 0.986 0.014
Mg2 0.000 0.514 0.486
```

Properties
Magnetic moment: 4.09 μB/f.u.
Energy relative to the elements: -0.1882 eV per atom
Space-group type: No. 10